Entry from Alexandria: an optimized crystal structure of PrPuCuSb (GGA-PBE).

E, eV/f.u.: -28.74
SG: F-43m, No. 216
Fermi-level density of states, states/eV/cell: 10.23

Cell: 5.282 5.282 5.282 Å, 60.00 60.00 60.00°
Each line ends with the local moment (μB).
Fractional coordinates of all 4 atoms:
Pu: 0.250 0.250 0.250  5.65
Pr: 0.750 0.750 0.750  0.38
Sb: 0.500 0.500 0.500  -0.05
Cu: 0.000 0.000 0.000  0.04